Below is an optimized crystal structure of Sb2SIF, with properties calculated at the PBE level.

Unit cell a=4.728 b=4.728 c=5.755 alpha=90.00 beta=90.00 gamma=90.00
Space group P4/mmm (No. 123)
Symmetry-distinct sites (fractional):
Sb1 0.000 0.500 0.000 (multiplicity 2)
S1 0.000 0.000 0.500 (multiplicity 1)
I1 0.500 0.500 0.500 (multiplicity 1)
F1 0.500 0.500 0.000 (multiplicity 1)

Values from the calculation:
The value obtained for the relative energy among the computed polymorphs is 0 meV/atom.



Below is an optimized crystal structure of SbSI2F, with properties calculated at the PBE level.

Unit cell a=5.975 b=5.975 c=4.228 alpha=90.00 beta=90.00 gamma=90.00
Space group P4/mmm (No. 123)
Symmetry-distinct sites (fractional):
Sb1 0.000 0.000 0.000 (multiplicity 1)
S1 0.500 0.500 0.000 (multiplicity 1)
I1 0.000 0.500 0.500 (multiplicity 2)
F1 0.000 0.000 0.500 (multiplicity 1)

Values from the calculation:
The value obtained for the relative energy among the computed polymorphs is 0 meV/atom.



Below is an optimized crystal structure of SbSI2F, with properties calculated at the PBE level.

Unit cell a=5.462 b=5.462 c=5.269 alpha=90.00 beta=90.00 gamma=90.00
Space group P4/mmm (No. 123)
Symmetry-distinct sites (fractional):
Sb1 0.000 0.000 0.000 (multiplicity 1)
S1 0.000 0.000 0.500 (multiplicity 1)
I1 0.000 0.500 0.500 (multiplicity 2)
F1 0.500 0.500 0.000 (multiplicity 1)

Values from the calculation:
The value obtained for the relative energy among the computed polymorphs is 106 meV/atom.



Below is an optimized crystal structure of Te2SIF, with properties calculated at the PBE level.

Unit cell a=5.249 b=5.249 c=5.427 alpha=90.00 beta=90.00 gamma=90.00
Space group P4/mmm (No. 123)
Symmetry-distinct sites (fractional):
Te1 0.000 0.500 0.000 (multiplicity 2)
S1 0.000 0.000 0.000 (multiplicity 1)
I1 0.000 0.000 0.500 (multiplicity 1)
F1 0.500 0.500 0.500 (multiplicity 1)



Below is an optimized crystal structure of Te2SIF, with properties calculated at the PBE level.

Unit cell a=4.524 b=4.524 c=8.228 alpha=90.00 beta=90.00 gamma=90.00
Space group P4/mmm (No. 123)
Symmetry-distinct sites (fractional):
Te1 0.000 0.500 0.000 (multiplicity 2)
S1 0.000 0.000 0.500 (multiplicity 1)
I1 0.500 0.500 0.500 (multiplicity 1)
F1 0.500 0.500 0.000 (multiplicity 1)



Below is an optimized crystal structure of Sb3IF, with properties calculated at the PBE level.

Unit cell a=5.793 b=5.793 c=5.793 alpha=90.00 beta=90.00 gamma=90.00
Space group Pm-3m (No. 221)
Symmetry-distinct sites (fractional):
Sb1 0.000 0.000 0.500 (multiplicity 3)
I1 0.000 0.000 0.000 (multiplicity 1)
F1 0.500 0.500 0.500 (multiplicity 1)

Values from the calculation:
The value obtained for the relative energy among the computed polymorphs is 789 meV/atom.



Below is an optimized crystal structure of SbIF4, with properties calculated at the PBE level.

Unit cell a=21.141 b=5.617 c=4.843 alpha=90.00 beta=103.23 gamma=90.00
Space group C2/m (No. 12)
Symmetry-distinct sites (fractional):
Sb1 0.054 0.000 0.337 (multiplicity 4)
I1 0.231 0.500 0.004 (multiplicity 4)
F1 0.000 0.223 0.000 (multiplicity 4)
F2 0.097 0.263 0.554 (multiplicity 8)
F3 0.117 0.000 0.112 (multiplicity 4)



Below is an optimized crystal structure of SbI2F, with properties calculated at the PBE level.

Unit cell a=9.408 b=6.062 c=11.583 alpha=90.00 beta=90.00 gamma=90.00
Space group Pnma (No. 62)
Symmetry-distinct sites (fractional):
Sb1 0.192 0.250 0.069 (multiplicity 4)
I1 0.034 0.750 0.655 (multiplicity 4)
I2 0.134 0.750 0.074 (multiplicity 4)
F1 0.243 0.750 0.409 (multiplicity 4)

Values from the calculation:
The value obtained for the relative energy among the computed polymorphs is 29 meV/atom.



Below is an optimized crystal structure of Sb3IF, with properties calculated at the PBE level.

Unit cell a=5.094 b=5.094 c=5.094 alpha=90.00 beta=90.00 gamma=90.00
Space group Pm-3m (No. 221)
Symmetry-distinct sites (fractional):
Sb1 0.000 0.000 0.500 (multiplicity 3)
I1 0.500 0.500 0.500 (multiplicity 1)
F1 0.000 0.000 0.000 (multiplicity 1)

Values from the calculation:
The value obtained for the relative energy among the computed polymorphs is 0 meV/atom.



Below is an optimized crystal structure of SbI2F6, with properties calculated at the PBE level.

Unit cell a=6.168 b=8.233 c=8.412 alpha=77.67 beta=81.47 gamma=83.01
Space group P-1 (No. 2)
Symmetry-distinct sites (fractional):
Sb1 0.058 0.201 0.188 (multiplicity 2)
I1 0.394 0.258 0.568 (multiplicity 2)
I2 0.401 0.585 0.267 (multiplicity 2)
F1 0.075 0.695 0.004 (multiplicity 2)
F2 0.091 0.634 0.693 (multiplicity 2)
F3 0.179 0.937 0.732 (multiplicity 2)
F4 0.203 0.105 0.382 (multiplicity 2)
F5 0.225 0.036 0.081 (multiplicity 2)
F6 0.297 0.344 0.119 (multiplicity 2)



Below is an optimized crystal structure of SbI2F, with properties calculated at the PBE level.

Unit cell a=7.802 b=7.802 c=8.194 alpha=90.00 beta=90.00 gamma=90.00
Space group I-42d (No. 122)
Symmetry-distinct sites (fractional):
Sb1 0.000 0.000 0.000 (multiplicity 4)
I1 0.242 0.750 0.625 (multiplicity 8)
F1 0.000 0.000 0.500 (multiplicity 4)

Values from the calculation:
The value obtained for the relative energy among the computed polymorphs is 627 meV/atom.



Below is an optimized crystal structure of SbI2F8, with properties calculated at the PBE level.

Unit cell a=6.001 b=6.278 c=7.215 alpha=115.60 beta=92.40 gamma=90.01
Space group P-1 (No. 2)
Symmetry-distinct sites (fractional):
Sb1 0.000 0.000 0.000 (multiplicity 1)
I1 0.454 0.239 0.478 (multiplicity 2)
F1 0.087 0.117 0.810 (multiplicity 2)
F2 0.088 0.693 0.814 (multiplicity 2)
F3 0.303 0.067 0.132 (multiplicity 2)
F4 0.412 0.624 0.246 (multiplicity 2)



Below is an optimized crystal structure of Sb2I3F4, with properties calculated at the PBE level.

Unit cell a=15.500 b=11.624 c=7.015 alpha=90.00 beta=116.55 gamma=90.00
Space group C2/c (No. 15)
Symmetry-distinct sites (fractional):
Sb1 0.238 0.094 0.467 (multiplicity 8)
I1 0.000 0.001 0.750 (multiplicity 4)
I2 0.129 0.416 0.783 (multiplicity 8)
F1 0.164 0.282 0.371 (multiplicity 8)
F2 0.199 0.108 0.700 (multiplicity 8)



Below is an optimized crystal structure of SbI2F2, with properties calculated at the PBE level.

Unit cell a=6.345 b=6.345 c=7.515 alpha=90.00 beta=90.00 gamma=90.00
Space group P4/mbm (No. 127)
Symmetry-distinct sites (fractional):
Sb1 0.000 0.000 0.000 (multiplicity 2)
I1 0.165 0.335 0.500 (multiplicity 4)
F1 0.242 0.742 0.000 (multiplicity 4)



Below is an optimized crystal structure of SbI2F, with properties calculated at the PBE level.

Unit cell a=9.906 b=8.588 c=4.682 alpha=90.00 beta=115.63 gamma=90.00
Space group Cm (No. 8)
Symmetry-distinct sites (fractional):
Sb1 0.000 0.000 0.000 (multiplicity 2)
I1 0.198 0.246 0.208 (multiplicity 4)
F1 0.498 0.500 0.566 (multiplicity 2)

Values from the calculation:
The value obtained for the relative energy among the computed polymorphs is 0 meV/atom.



Below is an optimized crystal structure of Sb2I2F11, with properties calculated at the PBE level.

Unit cell a=13.315 b=8.597 c=5.514 alpha=90.00 beta=104.47 gamma=90.00
Space group C2 (No. 5)
Symmetry-distinct sites (fractional):
Sb1 0.150 0.000 0.460 (multiplicity 4)
I1 0.068 0.500 0.863 (multiplicity 4)
F1 0.000 0.004 0.500 (multiplicity 2)
F2 0.103 0.847 0.210 (multiplicity 4)
F3 0.107 0.161 0.221 (multiplicity 4)
F4 0.176 0.841 0.708 (multiplicity 4)
F5 0.181 0.152 0.719 (multiplicity 4)
F6 0.209 0.497 0.572 (multiplicity 4)



Below is an optimized crystal structure of SbI2F, with properties calculated at the PBE level.

Unit cell a=7.412 b=7.412 c=7.412 alpha=90.00 beta=90.00 gamma=90.00
Space group Fm-3m (No. 225)
Symmetry-distinct sites (fractional):
Sb1 0.000 0.000 0.000 (multiplicity 4)
I1 0.250 0.250 0.250 (multiplicity 8)
F1 0.000 0.000 0.500 (multiplicity 4)

Values from the calculation:
The value obtained for the relative energy among the computed polymorphs is 540 meV/atom.



Below is an optimized crystal structure of Sb2SeI2F11, with properties calculated at the PBE level.

Unit cell a=8.281 b=9.450 c=18.187 alpha=92.25 beta=94.73 gamma=96.50
Space group P-1 (No. 2)
Symmetry-distinct sites (fractional):
Sb1 0.092 0.146 0.387 (multiplicity 2)
Sb2 0.194 0.220 0.091 (multiplicity 2)
Sb3 0.282 0.633 0.570 (multiplicity 2)
Sb4 0.353 0.559 0.867 (multiplicity 2)
Se1 0.197 0.827 0.223 (multiplicity 2)
Se2 0.472 0.025 0.738 (multiplicity 2)
I1 0.198 0.631 0.310 (multiplicity 2)
I2 0.229 0.726 0.098 (multiplicity 2)
I3 0.346 0.090 0.852 (multiplicity 2)
I4 0.390 0.181 0.639 (multiplicity 2)
F1 0.003 0.969 0.420 (multiplicity 2)
F2 0.005 0.903 0.911 (multiplicity 2)
F3 0.052 0.890 0.701 (multiplicity 2)
F4 0.093 0.765 0.565 (multiplicity 2)
F5 0.110 0.349 0.024 (multiplicity 2)
F6 0.144 0.465 0.833 (multiplicity 2)
F7 0.150 0.518 0.630 (multiplicity 2)
F8 0.154 0.337 0.173 (multiplicity 2)
F9 0.165 0.329 0.354 (multiplicity 2)
F10 0.170 0.538 0.483 (multiplicity 2)
F11 0.219 0.192 0.478 (multiplicity 2)
F12 0.261 0.058 0.343 (multiplicity 2)
F13 0.270 0.117 0.010 (multiplicity 2)
F14 0.276 0.663 0.947 (multiplicity 2)
F15 0.304 0.101 0.157 (multiplicity 2)
F16 0.339 0.722 0.810 (multiplicity 2)
F17 0.372 0.752 0.653 (multiplicity 2)
F18 0.387 0.767 0.509 (multiplicity 2)
F19 0.403 0.415 0.932 (multiplicity 2)
F20 0.416 0.343 0.093 (multiplicity 2)
F21 0.449 0.511 0.577 (multiplicity 2)
F22 0.462 0.470 0.793 (multiplicity 2)



Below is an optimized crystal structure of SnSbI2F, with properties calculated at the PBE level.

Unit cell a=5.966 b=5.966 c=4.270 alpha=90.00 beta=90.00 gamma=90.00
Space group P4/mmm (No. 123)
Symmetry-distinct sites (fractional):
Sn1 0.000 0.000 0.000 (multiplicity 1)
Sb1 0.500 0.500 0.000 (multiplicity 1)
I1 0.000 0.500 0.500 (multiplicity 2)
F1 0.500 0.500 0.500 (multiplicity 1)

Values from the calculation:
The value obtained for the relative energy among the computed polymorphs is 0 meV/atom.



Below is an optimized crystal structure of SnSbI2F, with properties calculated at the PBE level.

Unit cell a=5.891 b=5.891 c=5.944 alpha=90.00 beta=90.00 gamma=90.00
Space group P4/mmm (No. 123)
Symmetry-distinct sites (fractional):
Sn1 0.000 0.000 0.000 (multiplicity 1)
Sb1 0.000 0.000 0.500 (multiplicity 1)
I1 0.000 0.500 0.000 (multiplicity 2)
F1 0.500 0.500 0.500 (multiplicity 1)

Values from the calculation:
The value obtained for the relative energy among the computed polymorphs is 431 meV/atom.



Below is an optimized crystal structure of SrSb2IF, with properties calculated at the PBE level.

Unit cell a=6.346 b=6.346 c=6.136 alpha=90.00 beta=90.00 gamma=90.00
Space group P4/mmm (No. 123)
Symmetry-distinct sites (fractional):
Sr1 0.000 0.000 0.000 (multiplicity 1)
Sb1 0.000 0.500 0.000 (multiplicity 2)
I1 0.000 0.000 0.500 (multiplicity 1)
F1 0.500 0.500 0.500 (multiplicity 1)

Values from the calculation:
The value obtained for the relative energy among the computed polymorphs is 1029 meV/atom.



Below is an optimized crystal structure of SrSb2IF, with properties calculated at the PBE level.

Unit cell a=4.777 b=4.777 c=6.476 alpha=90.00 beta=90.00 gamma=90.00
Space group P4/mmm (No. 123)
Symmetry-distinct sites (fractional):
Sr1 0.000 0.000 0.000 (multiplicity 1)
Sb1 0.000 0.500 0.500 (multiplicity 2)
I1 0.500 0.500 0.000 (multiplicity 1)
F1 0.500 0.500 0.500 (multiplicity 1)

Values from the calculation:
The value obtained for the relative energy among the computed polymorphs is 0 meV/atom.



It is found that the uncorrected energy values, taken in the order of the records, are -14.28; -12.18; -11.65; -11.98; -11.98; -11.16; -95.04; -50.63; -15.10; -68.70; -41.08; -40.99; -130.78; -31.27; -25.55; -122.27; -42.47; -261.56; -14.52; -12.36; -12.28; -17.42 eV per cell.
It is found that the energy relative to the elements, uncorrected values, taken in the order of the records, are 1.52; 1.04; 1.58; 1.86; 1.86; 4.63; -10.60; -3.56; 0.69; -15.90; -1.18; -18.79; -12.31; -4.67; -3.68; -29.20; -1.52; -29.98; -1.42; 0.74; 1.07; -4.08 eV/f.u..